Material: AcLaHPt
Method: DFT, GGA-PBE
State: relaxed

Summary:
The crystal system is tetragonal. As for the total energy: -5.287 eV per atom. Its space-group type is No. 129.

Lattice parameters (Å, degrees): 5.026 5.026 7.710 90.00 90.00 90.00
Sites, in units of the cell vectors:
1 Ac 0.250 0.250 0.099
2 Ac 0.750 0.750 0.901
3 La 0.250 0.750 0.500
4 La 0.750 0.250 0.500
5 H 0.250 0.750 0.000
6 H 0.750 0.250 0.000
7 Pt 0.250 0.250 0.704
8 Pt 0.750 0.750 0.296